Rh5Br | Alexandria | PBE | optimized geometry; density of states at the Fermi level = 1.818 states/eV/atom; raw formation energy = 674 meV/atom; distance to the lowest polymorph of the same formula = 0.253 eV per atom
1.0
5.1388 0.0000 0.0000
-2.5694 4.4504 0.0000
0.0000 0.0000 4.4709
Rh Br
5 1
Cartesian
-1.2847 2.2252 0.0000
0.0000 2.9669 2.2354
2.5694 0.0000 0.0000
1.2847 2.2252 0.0000
2.5694 1.4835 2.2354
0.0000 0.0000 2.2354